[1]
Compound: Tb3CeTl4
Source: Alexandria
Functional: PBE
Structure: optimized geometry

The calculation puts the relative energy among the computed polymorphs at 0.000 eV/atom. The formation energy comes out at -2.53 eV per formula unit. Its magnetic moment is 1.215 μB per formula unit. The calculation puts the total DFT energy (no corrections) at -3.9769 eV/atom. For the density of states at the Fermi level, the calculation gives 12.2 states/eV per cell.

It has space group P4/mmm (No. 123), with a = 5.436 Å, b = 5.436 Å, c = 7.633 Å, α = 90.00°, β = 90.00° and γ = 90.00°. The distinct sites, in fractional coordinates, are Tb at (0.000, 0.000, 0.000), Tb at (0.000, 0.000, 0.500), Tb at (0.500, 0.500, 0.000), Ce at (0.500, 0.500, 0.500) and Tl at (0.000, 0.500, 0.244).

[2]
Compound: Tb4CeTl4
Source: Alexandria
Functional: PBE
Structure: optimized geometry

The formation energy comes out at -1.15 eV per formula unit. Its magnetic moment is 1.292 μB per formula unit. The calculation puts the total DFT energy (no corrections) at -3.8972 eV/atom. For the density of states at the Fermi level, the calculation gives 26.0 states/eV per cell.

It has space group P4_2/n (No. 86, origin choice 2), with a = 9.318 Å, b = 9.318 Å, c = 6.056 Å, α = 90.00°, β = 90.00° and γ = 90.00°. The distinct sites, in fractional coordinates, are Tb at (0.086, 0.824, 0.136), Ce at (0.250, 0.250, 0.750) and Tl at (0.036, 0.145, 0.352).

[3]
Compound: Tb7CeTl5
Source: Alexandria
Functional: PBE
Structure: optimized geometry

The formation energy comes out at -1.78 eV per formula unit. Its magnetic moment is 1.758 μB per formula unit. The calculation puts the total DFT energy (no corrections) at -3.9967 eV/atom. For the density of states at the Fermi level, the calculation gives 42.2 states/eV per cell.

It has space group Imm2 (No. 44), with a = 6.564 Å, b = 10.811 Å, c = 10.957 Å, α = 90.00°, β = 90.00° and γ = 90.00°. The distinct sites, in fractional coordinates, are Tb at (0.000, 0.000, 0.000), Tb at (0.000, 0.000, 0.316), Tb at (0.000, 0.308, 0.126), Tb at (0.000, 0.340, 0.642), Tb at (0.000, 0.500, 0.369), Ce at (0.000, 0.000, 0.657), Tl at (0.000, 0.500, 0.899) and Tl at (0.250, 0.241, 0.883).

[4]
Compound: Tb3CeTl
Source: Alexandria
Functional: PBE
Structure: optimized geometry

The formation energy comes out at -0.26 eV per formula unit. Its magnetic moment is 0.982 μB per formula unit. The calculation puts the total DFT energy (no corrections) at -4.4898 eV/atom. For the density of states at the Fermi level, the calculation gives 18.3 states/eV per cell.

It has space group P-1 (No. 2), with a = 3.571 Å, b = 7.876 Å, c = 11.211 Å, α = 99.84°, β = 90.01° and γ = 103.09°. The distinct sites, in fractional coordinates, are Tb at (0.048, 0.095, 0.146), Tb at (0.257, 0.514, 0.728), Tb at (0.443, 0.885, 0.351), Ce at (0.341, 0.683, 0.054) and Tl at (0.135, 0.270, 0.446).

[5]
Compound: Tb4CeTl2
Source: Alexandria
Functional: PBE
Structure: optimized geometry

The formation energy comes out at 0.57 eV per formula unit. Its magnetic moment is 1.655 μB per formula unit. The calculation puts the total DFT energy (no corrections) at -4.0882 eV/atom. For the density of states at the Fermi level, the calculation gives 39.6 states/eV per cell.

It has space group R-3m (No. 166, hexagonal axes), with a = 5.4563 Å, b = 5.4563 Å, c = 26.7343 Å, α = 90.00°, β = 90.00° and γ = 120.00°. The distinct sites, in fractional coordinates, are Tb at (0.0000, 0.0000, 0.1315), Tb at (0.0000, 0.0000, 0.2632), Ce at (0.0000, 0.0000, 0.5000) and Tl at (0.0000, 0.0000, 0.3809).

[6]
Compound: Tb2CeTl3
Source: Alexandria
Functional: PBE
Structure: optimized geometry

The formation energy comes out at -1.89 eV per formula unit. Its magnetic moment is 1.350 μB per formula unit. The calculation puts the total DFT energy (no corrections) at -4.0304 eV/atom. For the density of states at the Fermi level, the calculation gives 10.6 states/eV per cell.

It has space group P4/mmm (No. 123), with a = 3.622 Å, b = 3.622 Å, c = 12.843 Å, α = 90.00°, β = 90.00° and γ = 90.00°. The distinct sites, in fractional coordinates, are Tb at (0.000, 0.000, 0.163), Ce at (0.000, 0.000, 0.500), Tl at (0.500, 0.500, 0.000) and Tl at (0.500, 0.500, 0.327).

Q: Among the records above, which one has the highest total DFT energy (no corrections)?
A: Tb4CeTl4

Q: total DFT energy (no corrections) of number 2 (Tb4CeTl4)?
A: -3.8972 eV/atom